Here is an optimized crystal structure of Mg7Sc4 from Alexandria via LeMat-Bulk. Energies are from GGA-PBE.

spin magnetization = 1.1 μB/f.u.
energy of formation from the pure elements = 16 kJ per mole of atoms

```
data_Mg7Sc4
_space_group_name_H-M_alt 'P -6 m 2'
_space_group_IT_number 187
_space_group_name_Hall 'P -6 2'
_cell_length_a 10.0592
_cell_length_b 10.0592
_cell_length_c 3.0499
_cell_angle_alpha 90.00
_cell_angle_beta 90.00
_cell_angle_gamma 120.00
loop_
_atom_site_label
_atom_site_fract_x
_atom_site_fract_y
_atom_site_fract_z
_atom_site_occupancy
Mg1 0.0000 0.0000 0.0000 1
Mg2 0.0014 0.5007 0.0000 1
Mg3 0.1664 0.3328 0.5000 1
Sc1 0.3333 0.6667 0.0000 1
Sc2 0.4027 0.2013 0.5000 1
```